# NaZrPtAu PBE relaxed
# calculated volume: 76 Å³/cell
# E_form: -1.82 eV per formula unit
data_NaZrPtAu
_chemical_formula_sum 'Na1 Zr1 Pt1 Au1'
_symmetry_space_group_name_H-M 'P 1'
_symmetry_Int_Tables_number 1
_symmetry_space_group_name_Hall 'P 1'
_cell_length_a 4.7445
_cell_length_b 4.7445
_cell_length_c 4.7445
_cell_angle_alpha 60.00
_cell_angle_beta 60.00
_cell_angle_gamma 60.00
loop_
_atom_site_label
_atom_site_type_symbol
_atom_site_fract_x
_atom_site_fract_y
_atom_site_fract_z
_atom_site_occupancy
Na1 Na 0.0000 0.0000 0.0000 1
Zr1 Zr 0.5000 0.5000 0.5000 1
Pt1 Pt 0.2500 0.2500 0.2500 1
Au1 Au 0.7500 0.7500 0.7500 1